VASP calculation (PBE with a Hubbard U) on CaCrOF2 after structural relaxation.

Cell: 4.1321 4.1321 4.0359 Å, 90.00 90.00 90.00°
Sites, in units of the cell vectors:
1 Ca 0.0000 0.0000 0.0000
2 Cr 0.5000 0.5000 0.5000
3 O 0.5000 0.5000 0.0000
4 F 0.0000 0.5000 0.5000
5 F 0.5000 0.0000 0.5000

Computed properties:
V (Å³/cell): 68.9
Space group: P4/mmm
Offset from the most stable computed form (kcal/mol of atoms): 0.00